# CsDyMnSe4

A relaxed CsDyMnSe4 crystal (PBE, Alexandria via LeMat-Bulk).

Cell: 6.694 6.757 9.964 Å, 90.00 108.84 90.00°
Last column: magnetic moment on the atom in μB.
Atoms (fractional coordinates):
Mn (0.222, 0.750, 0.336)  2.86
Mn (0.778, 0.250, 0.664)  2.86
Se (0.580, 0.250, 0.429)  -0.04
Se (0.979, 0.008, 0.303)  -0.06
Se (0.021, 0.992, 0.697)  -0.06
Se (0.425, 0.750, 0.187)  -0.01
Se (0.420, 0.750, 0.571)  -0.04
Se (0.979, 0.492, 0.303)  -0.06
Se (0.575, 0.250, 0.813)  -0.01
Se (0.021, 0.508, 0.697)  -0.06
Cs (0.746, 0.750, 0.942)  0.00
Cs (0.254, 0.250, 0.058)  0.00
Dy (0.231, 0.250, 0.547)  0.07
Dy (0.769, 0.750, 0.453)  0.07

Computed properties:
Total DFT energy (no corrections) ... -5.17 eV/atom
Space-group type ... P2_1/m, No. 11
V ... 30.47 Å³/atom